Record 1
DFT (PBE) results for a relaxed structure of VTe2MoN.

## Properties
ΔE to the lowest computed polymorph, meV/atom: 40.4
Uncorrected formation energy, eV/f.u.: 2.55
E_tot, eV/atom: -6.401

Structure (POSCAR):
```
VTe2MoN
1.0
5.352 0.000 0.000
0.000 5.352 0.000
0.000 0.000 3.615
N Mo Te V
1 1 2 1
Cartesian
0.000 0.000 1.808
2.676 2.676 1.808
0.000 2.676 0.000
2.676 0.000 0.000
0.000 0.000 0.000
```

Record 2
DFT (PBE) results for a relaxed structure of CeTmHgRh.

## Properties
Formation energy from the elements, eV/atom: -0.50
E_tot, eV/atom: -5.019

Structure (POSCAR):
```
CeTmHgRh
1.0
5.089 0.000 0.000
2.545 4.407 0.000
2.545 1.469 4.155
Tm Rh Hg Ce
1 1 1 1
Cartesian
2.545 1.469 1.039
0.000 0.000 0.000
5.089 2.938 2.078
7.634 4.407 3.117
```

Record 3
DFT (PBE) results for a relaxed structure of TaSbTe2Pd.

## Properties
ΔE to the lowest computed polymorph, meV/atom: 377.7
Uncorrected formation energy, eV/f.u.: 4.86
E_tot, eV/atom: -4.518

Structure (POSCAR):
```
TaSbTe2Pd
1.0
5.190 0.000 0.000
0.000 5.190 0.000
0.000 0.000 5.050
Sb Te Pd Ta
1 2 1 1
Cartesian
0.000 0.000 2.525
0.000 2.595 0.000
2.595 0.000 0.000
0.000 0.000 0.000
2.595 2.595 2.525
```

Record 4
DFT (PBE) results for a relaxed structure of K3Y3TeS8.

## Properties
Uncorrected formation energy, eV/f.u.: -22.69
E_tot, eV/atom: -5.436

Structure (POSCAR):
```
K3Y3TeS8
1.0
-6.556 -2.194 4.079
5.516 -5.484 -1.981
2.091 5.666 6.409
K Y Te S
3 3 1 8
Cartesian
0.000 0.000 0.000
2.758 -2.742 -0.991
-0.520 -3.839 1.049
-2.232 1.736 5.244
0.526 -1.006 4.253
3.804 0.091 2.214
1.046 2.833 3.204
1.820 -1.810 1.953
-0.769 -0.202 6.554
-1.426 -2.957 4.016
2.477 0.945 4.490
-4.253 -0.146 5.032
5.305 -1.865 3.475
-0.893 0.979 2.941
1.944 -2.990 5.565
```

Record 5
DFT (PBE) results for a relaxed structure of CsTmCr2Br8.

## Properties
Uncorrected formation energy, eV/f.u.: -14.24
E_tot, eV/atom: -4.350

Structure (POSCAR):
```
CsTmCr2Br8
1.0
6.965 1.230 1.118
1.317 6.988 1.400
1.622 1.969 9.627
Cs Tm Cr Br
1 1 2 8
Cartesian
0.811 0.985 4.813
0.000 0.000 0.000
4.743 5.234 7.949
5.161 4.954 4.196
2.499 5.629 3.493
6.254 6.307 2.363
5.423 2.763 2.890
7.405 4.559 8.652
3.651 3.881 9.782
4.481 7.425 9.255
5.582 6.660 6.009
4.322 3.528 6.136
```

Record 6
DFT (PBE) results for a relaxed structure of K3SrW.

## Properties
ΔE to the lowest computed polymorph, meV/atom: 0.0
Formation energy from the elements, eV/atom: 1.38
E_tot, eV/atom: -2.204

Structure (POSCAR):
```
K3SrW
1.0
-3.004 -0.037 -6.128
-3.295 -5.744 1.650
-5.167 3.685 2.510
Sr K W
1 3 1
Cartesian
-5.733 -1.048 -0.984
-1.648 -2.872 0.825
-2.583 1.842 1.255
-1.502 -0.018 -3.064
0.000 0.000 0.000
```

Number 1: size of the total moment 3.853 Bohr magnetons per cell. Number 2: size of the total moment 0.715 Bohr magnetons per cell. Number 3: size of the total moment 0.006 Bohr magnetons per cell. Number 4: size of the total moment 0.000 Bohr magnetons per cell. Number 5: size of the total moment 8.000 Bohr magnetons per cell. Number 6: size of the total moment 5.590 Bohr magnetons per cell.